1.
Compound: SiGeW
Source: the Open Quantum Materials Database
Functional: PBE
Structure: relaxed

a = 4.250 Å, b = 4.250 Å, c = 4.250 Å
α = 60.00°, β = 60.00°, γ = 60.00°
Positions (direct):
Si 0.000 0.000 0.000
Ge 0.500 0.500 0.500
W 0.750 0.750 0.750

SG: F-43m, No. 216
calculated volume: 54 Å³/f.u.
energy above the lowest structure with this stoichiometry: 0.00 eV per formula unit
total DFT energy (no corrections): -7.048 eV per atom
magnetic moment: 0.0291 μB per atom

2.
Compound: SiGeW
Source: the Open Quantum Materials Database
Functional: PBE
Structure: relaxed

a = 4.160 Å, b = 4.160 Å, c = 4.160 Å
α = 60.00°, β = 60.00°, γ = 60.00°
Positions (direct):
Si 0.000 0.000 0.000
Ge 0.750 0.750 0.750
W 0.250 0.250 0.250

SG: F-43m, No. 216
calculated volume: 51 Å³/f.u.
energy above the lowest structure with this stoichiometry: 0.09 eV per formula unit
total DFT energy (no corrections): -7.018 eV per atom
magnetic moment: 0.0001 μB per atom

3.
Compound: ZnSiGe2
Source: the Open Quantum Materials Database
Functional: PBE
Structure: relaxed

a = 4.625 Å, b = 4.625 Å, c = 4.625 Å
α = 60.00°, β = 60.00°, γ = 60.00°
Positions (direct):
Zn 0.000 0.000 0.000
Si 0.750 0.750 0.750
Ge 0.250 0.250 0.250
Ge 0.500 0.500 0.500

SG: F-43m, No. 216
calculated volume: 70 Å³/f.u.
total DFT energy (no corrections): -3.581 eV per atom

4.
Compound: ZnSi17Ge14
Source: the Open Quantum Materials Database
Functional: PBE
Structure: relaxed

a = 5.600 Å, b = 3.932 Å, c = 31.633 Å
α = 90.00°, β = 90.07°, γ = 90.00°
Positions (direct):
Zn 0.000 0.000 0.000
Si 0.010 0.000 0.749
Si 0.012 0.000 0.248
Si 0.012 0.000 0.499
Si 0.022 0.000 0.627
Si 0.264 0.500 0.627
Si 0.269 0.500 0.127
Si 0.273 0.500 0.377
Si 0.522 0.500 0.187
Si 0.522 0.500 0.687
Si 0.523 0.500 0.437
Si 0.528 0.500 0.938
Si 0.761 0.000 0.937
Si 0.762 0.000 0.188
Si 0.762 0.000 0.438
Si 0.765 0.000 0.687
Si 0.771 0.000 0.063
Si 0.774 0.000 0.811
Ge 0.008 0.000 0.875
Ge 0.018 0.000 0.126
Ge 0.022 0.000 0.377
Ge 0.263 0.500 0.248
Ge 0.263 0.500 0.499
Ge 0.263 0.500 0.748
Ge 0.271 0.500 0.876
Ge 0.275 0.500 0.999
Ge 0.511 0.500 0.313
Ge 0.511 0.500 0.564
Ge 0.523 0.500 0.064
Ge 0.523 0.500 0.812
Ge 0.774 0.000 0.312
Ge 0.777 0.000 0.563

SG: Pm, No. 6
calculated volume: 697 Å³/f.u.
total DFT energy (no corrections): -4.890 eV per atom

What is the total DFT energy (no corrections) in the first record?
-7.048 eV per atom

Among the records above, which one has the highest calculated volume?
ZnSi17Ge14

Please write out number 1 again, unchanged.
Compound: SiGeW
Source: the Open Quantum Materials Database
Functional: PBE
Structure: relaxed

a = 4.250 Å, b = 4.250 Å, c = 4.250 Å
α = 60.00°, β = 60.00°, γ = 60.00°
Positions (direct):
Si 0.000 0.000 0.000
Ge 0.500 0.500 0.500
W 0.750 0.750 0.750

SG: F-43m, No. 216
calculated volume: 54 Å³/f.u.
energy above the lowest structure with this stoichiometry: 0.00 eV per formula unit
total DFT energy (no corrections): -7.048 eV per atom
magnetic moment: 0.0291 μB per atom

Among the records above, which one has the lowest calculated volume?
number 2